# CoC2

An optimized crystal structure of CoC2 (PBE, Alexandria via LeMat-Bulk).

Cell lengths 5.353, 5.353, 2.740 Å; angles 90.00, 90.00, 120.00 degrees
Element x y z (fractional)
Co: 0.333 0.667 0.000
Co: 0.667 0.333 0.000
Co: 0.000 0.000 0.500
C: 0.266 0.000 0.000
C: 0.000 0.266 0.000
C: 0.734 0.734 0.000
C: 0.630 0.000 0.500
C: 0.000 0.630 0.500
C: 0.370 0.370 0.500

Summary:
Final energy ... -6.599 eV/atom
Space group ... P-62m, No. 189
N(E_F) ... 7.2 states/eV/cell
Total magnetic moment ... 0.01 μB/cell